Be2Se: optimized geometry, GGA-PBE.

Cell: 9.4022 3.5203 6.1552 Å, 90.00 90.92 90.00°
Fractional coordinates of all 12 atoms:
Be: 0.6818 0.0000 0.3379
Be: 0.3182 0.0000 0.6621
Be: 0.6818 0.5000 0.8379
Be: 0.3182 0.5000 0.1621
Be: 0.4468 0.0000 0.3326
Be: 0.5532 0.0000 0.6674
Be: 0.4468 0.5000 0.8326
Be: 0.5532 0.5000 0.1674
Se: 0.2182 0.0000 0.3273
Se: 0.7818 0.0000 0.6727
Se: 0.2182 0.5000 0.8273
Se: 0.7818 0.5000 0.1727

Results
raw formation energy	-0.29	eV/atom
symmetry	C2/m, No. 12
E above lowest polymorph	0	kJ/mol of formula units

TlSnTeI2: optimized geometry, GGA-PBE.

Cell: 6.1182 6.1182 5.8254 Å, 90.00 90.00 90.00°
Fractional coordinates of all 5 atoms:
I: 0.0000 0.5000 0.0000
I: 0.5000 0.0000 0.0000
Tl: 0.5000 0.5000 0.5000
Te: 0.0000 0.0000 0.5000
Sn: 0.0000 0.0000 0.0000

Results
raw formation energy	-0.22	eV/atom
symmetry	P4/mmm, No. 123
E above lowest polymorph	0	kJ/mol of formula units

CaDyTl2: optimized geometry, GGA-PBE.

Cell: 3.7656 3.7656 10.1114 Å, 79.27 79.27 60.00°
Fractional coordinates of all 4 atoms:
Tl: 0.7489 0.7489 0.7534
Tl: 0.2511 0.2511 0.2466
Ca: 0.5000 0.5000 0.5000
Dy: 0.0000 0.0000 0.0000

Results
formation energy	-0.26	eV/atom
symmetry	R-3m, No. 166

GdDyTmRu: optimized geometry, GGA-PBE.

Cell: 5.1457 5.1457 5.1457 Å, 60.00 60.00 60.00°
Last column: magnetic moment on the atom in μB.
Fractional coordinates of all 4 atoms:
Gd: 0.0000 0.0000 0.0000  7.09
Ru: 0.7500 0.7500 0.7500  -0.11
Tm: 0.2500 0.2500 0.2500  0.07
Dy: 0.5000 0.5000 0.5000  0.02

Results
formation energy	0.08	eV/atom
symmetry	F-43m, No. 216

no.,total magnetization (Bohr magnetons per cell)
1,0.0
2,0.0
3,0.0
4,7.2